! PBE-GGA NaPm2Au, relaxed; values from VASP
&SYSTEM
  ibrav = 0, nat = 4, ntyp = 3
/
ATOMIC_SPECIES
Na 22.99 Na.upf
Au 196.97 Au.upf
Pm 145.00 Pm.upf
CELL_PARAMETERS angstrom
-3.140 -0.347 1.908
1.939 -0.594 3.084
0.041 8.758 1.660
ATOMIC_POSITIONS crystal
Na 0.500 0.500 0.500
Au 0.500 0.500 0.000
Pm 0.000 0.000 0.803
Pm 0.000 0.000 0.197
! Calculated volume in A^3/atom: 30.361
! ρ in g cm⁻³: 6.973
! Energy of formation from the pure elements in eV per atom: -0.2499
! Distance to the lowest polymorph of the same formula in meV per atom: 0